No. 1
# MgZn4Ir GGA-PBE relaxed
data_MgZn4Ir
_chemical_formula_sum 'Mg1 Zn4 Ir1'
_cell_length_a 4.985
_cell_length_b 4.985
_cell_length_c 4.985
_cell_angle_alpha 60.00
_cell_angle_beta 60.00
_cell_angle_gamma 60.00
_symmetry_space_group_name_H-M 'P 1'
_symmetry_Int_Tables_number 1
_symmetry_space_group_name_Hall 'P 1'
loop_
_atom_site_label
_atom_site_type_symbol
_atom_site_fract_x
_atom_site_fract_y
_atom_site_fract_z
Mg1 Mg 0.000 0.000 0.000
Zn1 Zn 0.375 0.375 0.375
Zn2 Zn 0.375 0.375 0.874
Zn3 Zn 0.375 0.874 0.375
Zn4 Zn 0.874 0.375 0.375
Ir1 Ir 0.750 0.750 0.750
# Relative energy among the computed polymorphs   0.041 eV per atom
# Size of the total moment   0.000 μB per atom
# ΔE_f   -0.16 eV per atom
# Symmetry   F-43m



No. 2
# BaLa4Zr GGA-PBE relaxed
data_BaLa4Zr
_chemical_formula_sum 'Ba1 La4 Zr1'
_cell_length_a 6.765
_cell_length_b 6.765
_cell_length_c 6.765
_cell_angle_alpha 60.00
_cell_angle_beta 60.00
_cell_angle_gamma 60.00
_symmetry_space_group_name_H-M 'P 1'
_symmetry_Int_Tables_number 1
_symmetry_space_group_name_Hall 'P 1'
loop_
_atom_site_label
_atom_site_type_symbol
_atom_site_fract_x
_atom_site_fract_y
_atom_site_fract_z
Ba1 Ba 0.000 0.000 0.000
La1 La 0.141 0.620 0.620
La2 La 0.620 0.141 0.620
La3 La 0.620 0.620 0.141
La4 La 0.620 0.620 0.620
Zr1 Zr 0.250 0.250 0.250
# Size of the total moment   0.215 μB per atom
# ΔE_f   0.45 eV per atom
# Symmetry   F-43m



No. 3
# YRe2Si GGA-PBE relaxed
data_YRe2Si
_chemical_formula_sum 'Y1 Re2 Si1'
_cell_length_a 2.987
_cell_length_b 4.640
_cell_length_c 5.027
_cell_angle_alpha 90.00
_cell_angle_beta 92.41
_cell_angle_gamma 90.00
_symmetry_space_group_name_H-M 'P 1'
_symmetry_Int_Tables_number 1
_symmetry_space_group_name_Hall 'P 1'
loop_
_atom_site_label
_atom_site_type_symbol
_atom_site_fract_x
_atom_site_fract_y
_atom_site_fract_z
Y1 Y 0.000 0.000 0.000
Re1 Re 0.346 0.500 0.731
Re2 Re 0.654 0.500 0.269
Si1 Si 0.500 0.000 0.500
# Size of the total moment   0.000 μB per atom
# Symmetry   P2/m
# Raw formation energy   0.958 eV/f.u.



No. 4
# Eu3Ti5O12 GGA-PBE relaxed
data_Eu3Ti5O12
_chemical_formula_sum 'Eu12 Ti20 O48'
_cell_length_a 11.143
_cell_length_b 11.143
_cell_length_c 11.143
_cell_angle_alpha 109.47
_cell_angle_beta 109.47
_cell_angle_gamma 109.47
_symmetry_space_group_name_H-M 'P 1'
_symmetry_Int_Tables_number 1
_symmetry_space_group_name_Hall 'P 1'
loop_
_atom_site_label
_atom_site_type_symbol
_atom_site_fract_x
_atom_site_fract_y
_atom_site_fract_z
Eu1 Eu 0.125 0.250 0.375
Eu2 Eu 0.125 0.375 0.750
Eu3 Eu 0.250 0.375 0.125
Eu4 Eu 0.250 0.875 0.625
Eu5 Eu 0.375 0.125 0.250
Eu6 Eu 0.375 0.750 0.125
Eu7 Eu 0.625 0.250 0.875
Eu8 Eu 0.625 0.875 0.750
Eu9 Eu 0.750 0.125 0.375
Eu10 Eu 0.750 0.625 0.875
Eu11 Eu 0.875 0.625 0.250
Eu12 Eu 0.875 0.750 0.625
Ti1 Ti 0.000 0.000 0.000
Ti2 Ti 0.000 0.000 0.500
Ti3 Ti 0.000 0.500 0.000
Ti4 Ti 0.000 0.500 0.500
Ti5 Ti 0.125 0.750 0.875
Ti6 Ti 0.125 0.875 0.250
Ti7 Ti 0.250 0.125 0.875
Ti8 Ti 0.250 0.625 0.375
Ti9 Ti 0.375 0.250 0.625
Ti10 Ti 0.375 0.625 0.750
Ti11 Ti 0.500 0.000 0.000
Ti12 Ti 0.500 0.000 0.500
Ti13 Ti 0.500 0.500 0.000
Ti14 Ti 0.500 0.500 0.500
Ti15 Ti 0.625 0.375 0.250
Ti16 Ti 0.625 0.750 0.375
Ti17 Ti 0.750 0.375 0.625
Ti18 Ti 0.750 0.875 0.125
Ti19 Ti 0.875 0.125 0.750
Ti20 Ti 0.875 0.250 0.125
O1 O 0.014 0.197 0.115
O2 O 0.014 0.318 0.899
O3 O 0.082 0.697 0.682
O4 O 0.082 0.885 0.399
O5 O 0.101 0.615 0.418
O6 O 0.101 0.986 0.682
O7 O 0.115 0.014 0.197
O8 O 0.115 0.601 0.918
O9 O 0.182 0.197 0.582
O10 O 0.182 0.486 0.601
O11 O 0.197 0.115 0.014
O12 O 0.197 0.582 0.182
O13 O 0.303 0.318 0.918
O14 O 0.303 0.486 0.385
O15 O 0.318 0.899 0.014
O16 O 0.318 0.918 0.303
O17 O 0.385 0.303 0.486
O18 O 0.385 0.582 0.899
O19 O 0.399 0.082 0.885
O20 O 0.399 0.818 0.514
O21 O 0.418 0.101 0.615
O22 O 0.418 0.818 0.803
O23 O 0.486 0.385 0.303
O24 O 0.486 0.601 0.182
O25 O 0.514 0.399 0.818
O26 O 0.514 0.615 0.697
O27 O 0.582 0.182 0.197
O28 O 0.582 0.899 0.385
O29 O 0.601 0.182 0.486
O30 O 0.601 0.918 0.115
O31 O 0.615 0.418 0.101
O32 O 0.615 0.697 0.514
O33 O 0.682 0.082 0.697
O34 O 0.682 0.101 0.986
O35 O 0.697 0.514 0.615
O36 O 0.697 0.682 0.082
O37 O 0.803 0.418 0.818
O38 O 0.803 0.885 0.986
O39 O 0.818 0.514 0.399
O40 O 0.818 0.803 0.418
O41 O 0.885 0.399 0.082
O42 O 0.885 0.986 0.803
O43 O 0.899 0.014 0.318
O44 O 0.899 0.385 0.582
O45 O 0.918 0.115 0.601
O46 O 0.918 0.303 0.318
O47 O 0.986 0.682 0.101
O48 O 0.986 0.803 0.885
# Size of the total moment   1.152 μB per atom
# Symmetry   Ia-3d
# Raw formation energy   -61.040 eV/f.u.



No. 5
# Sc2Ag3GeSe6 GGA-PBE relaxed
data_Sc2Ag3GeSe6
_chemical_formula_sum 'Sc2 Ag3 Ge1 Se6'
_cell_length_a 9.029
_cell_length_b 9.029
_cell_length_c 7.894
_cell_angle_alpha 103.44
_cell_angle_beta 103.44
_cell_angle_gamma 25.07
_symmetry_space_group_name_H-M 'P 1'
_symmetry_Int_Tables_number 1
_symmetry_space_group_name_Hall 'P 1'
loop_
_atom_site_label
_atom_site_type_symbol
_atom_site_fract_x
_atom_site_fract_y
_atom_site_fract_z
Sc1 Sc 0.165 0.165 0.340
Sc2 Sc 0.835 0.835 0.660
Ag1 Ag 0.171 0.171 0.845
Ag2 Ag 0.500 0.500 0.500
Ag3 Ag 0.829 0.829 0.155
Ge1 Ge 0.500 0.500 0.000
Se1 Se 0.004 0.004 0.247
Se2 Se 0.325 0.325 0.415
Se3 Se 0.340 0.340 0.904
Se4 Se 0.660 0.660 0.096
Se5 Se 0.675 0.675 0.585
Se6 Se 0.996 0.996 0.753
# Size of the total moment   0.000 μB per atom
# Symmetry   C2/m
# Raw formation energy   -8.792 eV/f.u.



No. 6
# Pm6PrGe2 GGA-PBE relaxed
data_Pm6PrGe2
_chemical_formula_sum 'Pm6 Pr1 Ge2'
_cell_length_a 8.135
_cell_length_b 8.135
_cell_length_c 4.683
_cell_angle_alpha 90.00
_cell_angle_beta 90.00
_cell_angle_gamma 120.00
_symmetry_space_group_name_H-M 'P 1'
_symmetry_Int_Tables_number 1
_symmetry_space_group_name_Hall 'P 1'
loop_
_atom_site_label
_atom_site_type_symbol
_atom_site_fract_x
_atom_site_fract_y
_atom_site_fract_z
Pm1 Pm 0.000 0.420 0.000
Pm2 Pm 0.000 0.727 0.500
Pm3 Pm 0.273 0.273 0.500
Pm4 Pm 0.420 0.000 0.000
Pm5 Pm 0.580 0.580 0.000
Pm6 Pm 0.727 0.000 0.500
Pr1 Pr 0.000 0.000 0.000
Ge1 Ge 0.333 0.667 0.500
Ge2 Ge 0.667 0.333 0.500
# Size of the total moment   0.000 μB per atom
# ΔE_f   -0.30 eV per atom
# Symmetry   P-62m



No. 7
# TlSbCI2 GGA-PBE relaxed
data_TlSbCI2
_chemical_formula_sum 'Tl1 Sb1 C1 I2'
_cell_length_a 6.129
_cell_length_b 6.129
_cell_length_c 5.839
_cell_angle_alpha 90.00
_cell_angle_beta 90.00
_cell_angle_gamma 90.00
_symmetry_space_group_name_H-M 'P 1'
_symmetry_Int_Tables_number 1
_symmetry_space_group_name_Hall 'P 1'
loop_
_atom_site_label
_atom_site_type_symbol
_atom_site_fract_x
_atom_site_fract_y
_atom_site_fract_z
Tl1 Tl 0.000 0.000 0.000
Sb1 Sb 0.000 0.000 0.500
C1 C 0.500 0.500 0.500
I1 I 0.000 0.500 0.000
I2 I 0.500 0.000 0.000
# Relative energy among the computed polymorphs   0.993 eV per atom
# Size of the total moment   0.455 μB per atom
# Symmetry   P4/mmm
# Raw formation energy   8.988 eV/f.u.



No. 8
# SmCuSnHg GGA-PBE relaxed
data_SmCuSnHg
_chemical_formula_sum 'Sm4 Cu4 Sn4 Hg4'
_cell_length_a 7.138
_cell_length_b 7.138
_cell_length_c 7.138
_cell_angle_alpha 90.00
_cell_angle_beta 90.00
_cell_angle_gamma 90.00
_symmetry_space_group_name_H-M 'P 1'
_symmetry_Int_Tables_number 1
_symmetry_space_group_name_Hall 'P 1'
loop_
_atom_site_label
_atom_site_type_symbol
_atom_site_fract_x
_atom_site_fract_y
_atom_site_fract_z
Sm1 Sm 0.000 0.000 0.000
Sm2 Sm 0.000 0.500 0.500
Sm3 Sm 0.500 0.000 0.500
Sm4 Sm 0.500 0.500 0.000
Cu1 Cu 0.250 0.250 0.750
Cu2 Cu 0.250 0.750 0.250
Cu3 Cu 0.750 0.250 0.250
Cu4 Cu 0.750 0.750 0.750
Sn1 Sn 0.000 0.000 0.500
Sn2 Sn 0.000 0.500 0.000
Sn3 Sn 0.500 0.000 0.000
Sn4 Sn 0.500 0.500 0.500
Hg1 Hg 0.250 0.250 0.250
Hg2 Hg 0.250 0.750 0.750
Hg3 Hg 0.750 0.250 0.750
Hg4 Hg 0.750 0.750 0.250
# Size of the total moment   0.000 μB per atom
# ΔE_f   -0.27 eV per atom
# Symmetry   F-43m



No. 9
# Na2MgPaSe4 GGA-PBE relaxed
data_Na2MgPaSe4
_chemical_formula_sum 'Na2 Mg1 Pa1 Se4'
_cell_length_a 7.027
_cell_length_b 4.100
_cell_length_c 7.410
_cell_angle_alpha 90.00
_cell_angle_beta 108.66
_cell_angle_gamma 90.00
_symmetry_space_group_name_H-M 'P 1'
_symmetry_Int_Tables_number 1
_symmetry_space_group_name_Hall 'P 1'
loop_
_atom_site_label
_atom_site_type_symbol
_atom_site_fract_x
_atom_site_fract_y
_atom_site_fract_z
Na1 Na 0.000 0.000 0.000
Na2 Na 0.500 0.500 0.000
Mg1 Mg 0.000 0.500 0.500
Pa1 Pa 0.500 0.000 0.500
Se1 Se 0.235 0.000 0.719
Se2 Se 0.253 0.500 0.267
Se3 Se 0.747 0.500 0.733
Se4 Se 0.765 0.000 0.281
# Size of the total moment   0.125 μB per atom
# Symmetry   P2/m
# Raw formation energy   -10.335 eV/f.u.



No. 10
# Tb4Pm2HoSc GGA-PBE relaxed
data_Tb4Pm2HoSc
_chemical_formula_sum 'Tb4 Pm2 Ho1 Sc1'
_cell_length_a 5.016
_cell_length_b 5.016
_cell_length_c 9.986
_cell_angle_alpha 90.00
_cell_angle_beta 90.00
_cell_angle_gamma 90.00
_symmetry_space_group_name_H-M 'P 1'
_symmetry_Int_Tables_number 1
_symmetry_space_group_name_Hall 'P 1'
loop_
_atom_site_label
_atom_site_type_symbol
_atom_site_fract_x
_atom_site_fract_y
_atom_site_fract_z
Tb1 Tb 0.000 0.500 0.246
Tb2 Tb 0.000 0.500 0.754
Tb3 Tb 0.500 0.000 0.246
Tb4 Tb 0.500 0.000 0.754
Pm1 Pm 0.000 0.000 0.000
Pm2 Pm 0.500 0.500 0.500
Ho1 Ho 0.000 0.000 0.500
Sc1 Sc 0.500 0.500 0.000
# Size of the total moment   0.000 μB per atom
# ΔE_f   0.03 eV per atom
# Symmetry   P4/mmm



No. 11
# LiCo2Mo GGA-PBE relaxed
data_LiCo2Mo
_chemical_formula_sum 'Li1 Co2 Mo1'
_cell_length_a 2.564
_cell_length_b 3.855
_cell_length_c 4.886
_cell_angle_alpha 90.00
_cell_angle_beta 90.00
_cell_angle_gamma 90.00
_symmetry_space_group_name_H-M 'P 1'
_symmetry_Int_Tables_number 1
_symmetry_space_group_name_Hall 'P 1'
loop_
_atom_site_label
_atom_site_type_symbol
_atom_site_fract_x
_atom_site_fract_y
_atom_site_fract_z
Li1 Li 0.000 0.000 0.000
Co1 Co 0.000 0.000 0.520
Co2 Co 0.500 0.500 0.805
Mo1 Mo 0.500 0.500 0.292
# Relative energy among the computed polymorphs   0.128 eV per atom
# Size of the total moment   0.090 μB per atom
# ΔE_f   0.27 eV per atom
# Symmetry   Pmm2